Here is a relaxed La4GaRhBr2 crystal from Alexandria. Energies are from GGA-PBE.

```
data_La4GaRhBr2
_cell_length_a 4.2699
_cell_length_b 7.6173
_cell_length_c 8.0390
_cell_angle_alpha 107.44
_cell_angle_beta 90.00
_cell_angle_gamma 90.00
_symmetry_space_group_name_H-M 'P 1'
_symmetry_Int_Tables_number 1
loop_
_symmetry_equiv_pos_as_xyz
'x,y,z'
loop_
_atom_site_label
_atom_site_fract_x
_atom_site_fract_y
_atom_site_fract_z
La1 0.5000 0.2293 0.2054
La2 0.0000 0.7602 0.2070
Br1 0.5000 0.0000 0.5000
Ga1 0.5000 0.5000 0.0000
La3 0.5000 0.7707 0.7946
Br2 0.0000 0.5000 0.5000
Rh1 0.0000 0.0000 0.0000
La4 0.0000 0.2398 0.7930
```

Summary:
The value obtained for the density of states at the Fermi level is 7.4 states/eV/f.u. The uncorrected energy comes out at -5.209 eV/atom. The calculation puts the magnetic moment at 0.000 μB per atom. Its space group is P2/m.